Below is a relaxed structure of GdDyGe2Os, with properties calculated at the PBE level.

Unit cell a=5.8267 b=5.8267 c=10.2147 alpha=116.18 beta=116.18 gamma=43.39
Last column: nearest neighbours and their distance in Å.
Fractional positions:
Ge (0.1441, 0.1441, 0.5636)  3 Os 2.47-2.54, 1 Ge 2.75
Ge (0.9897, 0.9897, 0.1264)  1 Os 2.61, 1 Ge 2.69
Ge (0.0103, 0.0103, 0.8736)  1 Os 2.61, 1 Ge 2.69
Ge (0.8559, 0.8559, 0.4364)  3 Os 2.47-2.54, 1 Ge 2.75
Gd (0.3153, 0.3153, 0.8868)  6 Ge 2.92-3.24, 2 Os 3.26
Gd (0.6847, 0.6847, 0.1132)  6 Ge 2.92-3.24, 2 Os 3.26
Os (0.2287, 0.2287, 0.3707)  4 Ge 2.47-2.61
Os (0.7713, 0.7713, 0.6293)  4 Ge 2.47-2.61
Dy (0.4973, 0.4973, 0.3262)  6 Ge 2.94-3.15, 4 Os 3.11-3.17
Dy (0.5027, 0.5027, 0.6738)  6 Ge 2.94-3.15, 4 Os 3.11-3.17

Output
spin magnetization: 0.00 μB per atom
final energy: -6.638 eV per atom
crystal system: monoclinic
space group: C2/m, No. 12